Density functional theory data (PBE) for crystalline Co2B2Mo3 at its relaxed geometry.

The space group is R3m (No. 160, hexagonal axes) and the conventional cell measures 3.7033, 3.7033 and 21.2938 Å, with angles of 90.00, 90.00 and 120.00 degrees. The inequivalent atoms are Co at (0.0000, 0.0000, 0.0000), Co at (0.0000, 0.0000, 0.3922), B at (0.0000, 0.0000, 0.1602), B at (0.0000, 0.0000, 0.6484), Mo at (0.0000, 0.0000, 0.2718), Mo at (0.0000, 0.0000, 0.5244) and Mo at (0.0000, 0.0000, 0.7686).

The energy comes out at -8.3661 eV/atom. Its magnetic moment is 0.1 μB/f.u. For the calculated volume, the calculation gives 252.9 Å³ per cell.